First-principles (PBE-GGA) data for a relaxed structure of MnPd4Au3, as listed in Alexandria.

a b c (Å): 5.4672 9.1896 5.3918
angles (deg): 90.00 90.00 90.00
Last column: nearest neighbours and their distance in Å.
Space group Imm2 (No. 44)
Unique sites:
Mn 0.0000 0.0000 0.0000 [2 per cell]  2 Pd 2.54, 4 Au 2.65-2.74
Pd 0.0000 0.2449 0.7797 [4 per cell]  1 Mn 2.54, 5 Au 2.68-2.74
Pd 0.2478 0.5000 0.0292 [4 per cell]  6 Pd 2.71-3.02, 1 Mn 2.89, 4 Au 2.93-3.02
Au 0.0000 0.2388 0.2768 [4 per cell]  1 Mn 2.65, 6 Pd 2.68-2.93, 1 Au 2.76
Au 0.0000 0.5000 0.5287 [2 per cell]  6 Pd 2.71-3.02, 2 Mn 2.74, 2 Au 2.76

Energy above the most stable polymorph in this dataset, kJ/mol of formula units: 120
E_tot, eV/atom: -4.980
Crystal system: orthorhombic
Energy relative to the elements, kcal/mol of atoms: -0.196

=====

First-principles (PBE-GGA) data for a relaxed structure of AcLaDy2Sb4, as listed in Alexandria.

a b c (Å): 7.8724 4.5570 7.8895
angles (deg): 90.00 109.51 90.00
Last column: nearest neighbours and their distance in Å.
Space group P2/m (No. 10)
Unique sites:
Ac 0.0000 0.0000 0.0000 [1 per cell]  6 Sb 3.32
La 0.0000 0.5000 0.5000 [1 per cell]  6 Sb 3.28
Dy 0.5000 0.0000 0.5000 [1 per cell]  6 Sb 3.12
Dy 0.5000 0.5000 0.0000 [1 per cell]  6 Sb 3.16
Sb 0.2668 0.0000 0.7513 [2 per cell]  3 Dy 3.12-3.16, 2 La 3.28, 1 Ac 3.32
Sb 0.2702 0.5000 0.2612 [2 per cell]  3 Dy 3.12-3.16, 1 La 3.28, 2 Ac 3.32

E_tot, eV/atom: -5.514
Crystal system: monoclinic
Uncorrected formation energy, eV/atom: -1.172

=====

First-principles (PBE-GGA) data for a relaxed structure of Ca2AgBr, as listed in Alexandria.

a b c (Å): 7.8137 7.8137 7.8137
angles (deg): 90.00 90.00 90.00
Last column: nearest neighbours and their distance in Å.
Space group F-43m (No. 216)
Unique sites:
Ca 0.0000 0.0000 0.0000 [4 per cell]  4 Ca 3.38, 4 Ag 3.38
Ca 0.2500 0.2500 0.2500 [4 per cell]  4 Br 3.38, 4 Ca 3.38
Ag 0.2500 0.2500 0.7500 [4 per cell]  4 Br 3.38, 4 Ca 3.38
Br 0.0000 0.0000 0.5000 [4 per cell]  4 Ag 3.38, 4 Ca 3.38

Energy above the most stable polymorph in this dataset, kJ/mol of formula units: 258
E_tot, eV/atom: -2.280
Crystal system: cubic
Uncorrected formation energy, eV/atom: -0.148

=====

Look up the E_tot of the third one.
-2.280 eV/atom

=====

What did the third record say?
First-principles (PBE-GGA) data for a relaxed structure of Ca2AgBr, as listed in Alexandria.

a b c (Å): 7.8137 7.8137 7.8137
angles (deg): 90.00 90.00 90.00
Last column: nearest neighbours and their distance in Å.
Space group F-43m (No. 216)
Unique sites:
Ca 0.0000 0.0000 0.0000 [4 per cell]  4 Ca 3.38, 4 Ag 3.38
Ca 0.2500 0.2500 0.2500 [4 per cell]  4 Br 3.38, 4 Ca 3.38
Ag 0.2500 0.2500 0.7500 [4 per cell]  4 Br 3.38, 4 Ca 3.38
Br 0.0000 0.0000 0.5000 [4 per cell]  4 Ag 3.38, 4 Ca 3.38

Energy above the most stable polymorph in this dataset, kJ/mol of formula units: 258
E_tot, eV/atom: -2.280
Crystal system: cubic
Uncorrected formation energy, eV/atom: -0.148

=====

Which formula does entry 3 have?
Ca2AgBr